{"formula": "TiCrS2", "functional": "PBE", "state": "relaxed", "cell": [[0.0000, 3.0261, 3.0261], [3.0261, 0.0000, 3.0261], [3.0261, 3.0261, 0.0000]], "species": ["Cr", "S", "S", "Ti"], "frac_coords": [[0.5000, 0.5000, 0.5000], [0.2500, 0.2500, 0.2500], [0.7500, 0.7500, 0.7500], [0.0000, 0.0000, 0.0000]], "n_ef_per_ev_fu": 3.9, "total_energy_ev_per_fu": -28.2, "raw_formation_energy_ev_per_atom": -0.60, "spacegroup": "Fm-3m"}